BaZnIn2Mo, relaxed, DFT PBE; calculated total energy = -3.381 eV/atom; DOS(E_F) = 2.9 states/eV per cell; ΔE_f = 0.520 eV per atom; magnetic moment = 0.00 μB/atom
1.0
5.370 0.000 0.000
0.000 5.745 0.000
0.000 0.000 5.370
Zn Mo Ba In
1 1 1 2
Direct
0.500 0.500 0.500
0.000 0.000 0.000
0.000 0.500 0.000
0.000 0.000 0.500
0.500 0.000 0.000